No. 1
Computed, not measured: a relaxed ZnIn2Rh3 crystal at the GGA-PBE level of DFT.

Calculated values
The calculated formation energy comes out at -433 meV/atom. Its volume is 15.9 Å³ per atom.

a = 3.1719 Å, b = 3.1719 Å, c = 9.4653 Å
α = 90.00°, β = 90.00°, γ = 90.00°
Positions (direct):
Rh: 0.0000 0.0000 0.3463
Rh: 0.0000 0.0000 0.6537
Rh: 0.0000 0.0000 0.0000
In: 0.5000 0.5000 0.8237
In: 0.5000 0.5000 0.1763
Zn: 0.5000 0.5000 0.5000


No. 2
Computed, not measured: a relaxed Na5Tl6Cd2 crystal at the GGA-PBE level of DFT.

Calculated values
The calculated formation energy comes out at -66 meV/atom. Its volume is 29.0 Å³ per atom.

a = 3.5266 Å, b = 10.5946 Å, c = 20.1614 Å
α = 90.00°, β = 90.00°, γ = 90.00°
Positions (direct):
Tl: 0.0000 0.6277 0.1183
Tl: 0.0000 0.3723 0.8817
Tl: 0.0000 0.6182 0.4041
Tl: 0.5000 0.3697 0.1565
Tl: 0.0000 0.3818 0.5959
Tl: 0.0000 0.1182 0.0959
Tl: 0.5000 0.8697 0.3435
Tl: 0.0000 0.8723 0.6183
Tl: 0.5000 0.1303 0.6565
Tl: 0.0000 0.8818 0.9041
Tl: 0.0000 0.1277 0.3817
Tl: 0.5000 0.6303 0.8435
Na: 0.5000 0.0000 0.5000
Na: 0.5000 0.8792 0.7577
Na: 0.5000 0.1208 0.2423
Na: 0.5000 0.3792 0.7423
Na: 0.5000 0.5000 0.0000
Na: 0.5000 0.8553 0.0466
Na: 0.5000 0.3553 0.4534
Na: 0.5000 0.6447 0.5466
Na: 0.5000 0.1447 0.9534
Na: 0.5000 0.6208 0.2577
Cd: 0.0000 0.1233 0.8048
Cd: 0.0000 0.8767 0.1952
Cd: 0.0000 0.6233 0.6952
Cd: 0.0000 0.3767 0.3048


No. 3
Computed, not measured: a relaxed Te2P2O crystal at the GGA-PBE level of DFT.

Calculated values
For the formation energy without anion corrections, the calculation gives 0.28 eV per atom. The excess energy over the best structure of this formula in the dataset is 0.0 kJ per mole of atoms. Its volume is 22.9 Å³ per atom.

a = 6.4402 Å, b = 6.4402 Å, c = 5.5102 Å
α = 90.00°, β = 90.00°, γ = 90.00°
Positions (direct):
O: 0.0000 0.0000 0.0000
O: 0.5000 0.5000 0.0000
P: 0.3865 0.1135 0.5000
P: 0.6135 0.8865 0.5000
P: 0.1135 0.6135 0.5000
P: 0.8865 0.3865 0.5000
Te: 0.3137 0.1863 0.0000
Te: 0.1863 0.6863 0.0000
Te: 0.8137 0.3137 0.0000
Te: 0.6863 0.8137 0.0000


No. 4
Computed, not measured: a relaxed GaFeAs3 crystal at the GGA-PBE level of DFT.

Calculated values
The calculated formation energy comes out at 402 meV/atom. Its volume is 19.4 Å³ per atom.

a = 4.5922 Å, b = 4.5922 Å, c = 4.5922 Å
α = 90.00°, β = 90.00°, γ = 90.00°
Positions (direct):
Ga: 0.5000 0.5000 0.5000
As: 0.0000 0.0000 0.5000
As: 0.0000 0.5000 0.0000
As: 0.5000 0.0000 0.0000
Fe: 0.0000 0.0000 0.0000